The following is a PBEsol calculation of SbIrRh2 after structural relaxation, from the Alexandria database.

Calculated values
The calculation puts the uncorrected formation energy at -1.3 kJ/mol of formula units.

Unit cell a=4.6402 b=2.9196 c=4.7073 alpha=90.00 beta=107.90 gamma=90.00
Space group P2/m (No. 10)
Asymmetric unit:
1 Sb 0.0000 0.0000 0.0000 (multiplicity 1)
2 Ir 0.0000 0.5000 0.5000 (multiplicity 1)
3 Rh 0.5000 0.0000 0.5000 (multiplicity 1)
4 Rh 0.5000 0.5000 0.0000 (multiplicity 1)


The following is a PBEsol calculation of La2MoPb after structural relaxation, from the Alexandria database.

Calculated values
The value obtained for the energy is -6.4723 eV/atom.

Unit cell a=4.8196 b=4.8364 c=9.1273 alpha=90.00 beta=90.00 gamma=90.00
Space group Cmmm (No. 65)
Asymmetric unit:
1 La 0.0000 0.0000 0.2073 (multiplicity 4)
2 Mo 0.0000 0.5000 0.0000 (multiplicity 2)
3 Pb 0.0000 0.5000 0.5000 (multiplicity 2)


The following is a PBEsol calculation of CrPbSeN2 after structural relaxation, from the Alexandria database.

Calculated values
The calculation puts the uncorrected formation energy at 187.7 kJ/mol of formula units.

Unit cell a=3.8582 b=3.8582 c=5.0382 alpha=90.00 beta=90.00 gamma=90.00
Space group P4/mmm (No. 123)
Asymmetric unit:
1 Cr 0.0000 0.0000 0.0000 (multiplicity 1)
2 Pb 0.5000 0.5000 0.5000 (multiplicity 1)
3 Se 0.0000 0.0000 0.5000 (multiplicity 1)
4 N 0.0000 0.5000 0.0000 (multiplicity 2)


| no. | ρ (kg/m³) |
| --- | --- |
| 1 | 14223 |
| 2 | 9069 |
| 3 | 8108 |